[1]
PBE GdDySn2Pd4, relaxed; crystal system = hexagonal; offset from the most stable computed form = 0 meV per atom
1.0
4.594 0.000 0.000
-2.297 3.978 0.000
0.000 0.000 8.971
Gd Dy Sn Pd
1 1 2 4
direct
0.000 0.000 0.000 Gd
0.333 0.667 0.500 Dy
0.667 0.333 0.251 Sn
0.667 0.333 0.749 Sn
0.000 0.000 0.336 Pd
0.000 0.000 0.664 Pd
0.333 0.667 0.167 Pd
0.333 0.667 0.833 Pd

---

[2]
PBE HoFe3, relaxed; DFT formation energy = 276 meV/atom; crystal system = cubic
1.0
3.914 0.000 0.000
0.000 3.914 0.000
0.000 0.000 3.914
Ho Fe
1 3
direct
0.000 0.000 0.000 Ho
0.000 0.500 0.500 Fe
0.500 0.000 0.500 Fe
0.500 0.500 0.000 Fe